## Ho2ErCo2B2P3 (PBE)

Data for an optimized crystal structure of Ho2ErCo2B2P3. Values from VASP.

Computed properties:
As for the total magnetization: 0.0 μB per cell. The total energy comes out at -6.645 eV/atom.

The structure in Quantum ESPRESSO input format:
```
&SYSTEM
  ibrav = 0, nat = 10, ntyp = 5
/
ATOMIC_SPECIES
Ho 164.93 Ho.upf
Er 167.26 Er.upf
Co 58.93 Co.upf
B 10.81 B.upf
P 30.97 P.upf
CELL_PARAMETERS angstrom
-1.920 1.920 10.887
1.920 -1.920 10.887
1.920 1.920 -10.887
ATOMIC_POSITIONS angstrom
Ho 0.000 0.000 3.005
Ho 0.000 0.000 18.768
Er 0.000 0.000 10.887
Co 1.920 0.000 5.443
Co 0.000 1.920 5.443
B 0.000 0.000 6.215
B 0.000 0.000 15.558
P 0.000 0.000 0.000
P 0.000 0.000 8.184
P 0.000 0.000 13.589
```

***

## HoEr2Co2B2P3 (PBE)

Data for an optimized crystal structure of HoEr2Co2B2P3. Values from VASP.

Computed properties:
As for the total magnetization: 0.0 μB per cell. The total energy comes out at -6.640 eV/atom.

The structure in Quantum ESPRESSO input format:
```
&SYSTEM
  ibrav = 0, nat = 10, ntyp = 5
/
ATOMIC_SPECIES
Ho 164.93 Ho.upf
Er 167.26 Er.upf
Co 58.93 Co.upf
B 10.81 B.upf
P 30.97 P.upf
CELL_PARAMETERS angstrom
-1.916 1.916 10.895
1.916 -1.916 10.895
1.916 1.916 -10.895
ATOMIC_POSITIONS angstrom
Ho 0.000 0.000 0.000
Er 0.000 0.000 7.888
Er 0.000 0.000 13.902
Co 1.916 0.000 5.447
Co 0.000 1.916 5.447
B 0.000 0.000 4.678
B 0.000 0.000 17.112
P 0.000 0.000 2.712
P 0.000 0.000 10.895
P 0.000 0.000 19.078
```

***

## HoErCo2B2P2 (PBE)

Data for an optimized crystal structure of HoErCo2B2P2. Values from VASP.

Computed properties:
As for the total magnetization: 0.0 μB per cell. The total energy comes out at -6.692 eV/atom.

The structure in Quantum ESPRESSO input format:
```
&SYSTEM
  ibrav = 0, nat = 8, ntyp = 5
/
ATOMIC_SPECIES
Ho 164.93 Ho.upf
Er 167.26 Er.upf
Co 58.93 Co.upf
B 10.81 B.upf
P 30.97 P.upf
CELL_PARAMETERS angstrom
3.766 0.000 0.000
0.000 3.766 0.000
0.000 0.000 8.100
ATOMIC_POSITIONS angstrom
Ho 0.000 0.000 0.000
Er 1.883 1.883 3.403
Co 0.000 1.883 5.752
Co 1.883 0.000 5.752
B 0.000 0.000 4.899
B 1.883 1.883 6.616
P 0.000 0.000 2.902
P 1.883 1.883 0.518
```